Record 1
# DyTmZnPt (PBE, relaxed)
data_DyTmZnPt
_cell_length_a 3.527
_cell_length_b 3.527
_cell_length_c 6.906
_cell_angle_alpha 90.00
_cell_angle_beta 90.00
_cell_angle_gamma 90.00
_space_group_name_H-M_alt 'P 1'
_space_group_IT_number 1
loop_
_space_group_symop_operation_xyz
'x,y,z'
loop_
_atom_site_label
_atom_site_type_symbol
_atom_site_fract_x
_atom_site_fract_y
_atom_site_fract_z
Dy1 Dy 0.000 0.000 0.000
Tm1 Tm 0.000 0.000 0.486
Zn1 Zn 0.500 0.500 0.737
Pt1 Pt 0.500 0.500 0.251
# total magnetization = 0.00 μB/f.u.
# Fermi-level density of states = 2.84 states/eV per cell
# symmetry = No. 99
# relative energy among the computed polymorphs = 0 meV/atom
# ΔE_f = -19.113 kcal/mol of atoms

---

Record 2
# Pm7Y12Pu (PBE, relaxed)
data_Pm7Y12Pu
_cell_length_a 9.823
_cell_length_b 9.823
_cell_length_c 9.823
_cell_angle_alpha 109.47
_cell_angle_beta 109.47
_cell_angle_gamma 109.47
_space_group_name_H-M_alt 'P 1'
_space_group_IT_number 1
loop_
_space_group_symop_operation_xyz
'x,y,z'
loop_
_atom_site_label
_atom_site_type_symbol
_atom_site_fract_x
_atom_site_fract_y
_atom_site_fract_z
Pm1 Pm 0.000 0.000 0.500
Pm2 Pm 0.000 0.500 0.000
Pm3 Pm 0.000 0.500 0.500
Pm4 Pm 0.500 0.000 0.000
Pm5 Pm 0.500 0.000 0.500
Pm6 Pm 0.500 0.500 0.000
Pm7 Pm 0.500 0.500 0.500
Y1 Y 0.000 0.247 0.753
Y2 Y 0.000 0.753 0.247
Y3 Y 0.247 0.000 0.753
Y4 Y 0.247 0.247 0.494
Y5 Y 0.247 0.494 0.247
Y6 Y 0.247 0.753 0.000
Y7 Y 0.494 0.247 0.247
Y8 Y 0.506 0.753 0.753
Y9 Y 0.753 0.000 0.247
Y10 Y 0.753 0.247 0.000
Y11 Y 0.753 0.506 0.753
Y12 Y 0.753 0.753 0.506
Pu1 Pu 0.000 0.000 0.000
# total magnetization = 6.75 μB/f.u.
# Fermi-level density of states = 41.69 states/eV per cell
# symmetry = No. 229
# relative energy among the computed polymorphs = 440 meV/atom
# ΔE_f = 15.452 kcal/mol of atoms

---

Record 3
# CaPuBiSb (PBE, relaxed)
data_CaPuBiSb
_cell_length_a 5.503
_cell_length_b 5.503
_cell_length_c 5.503
_cell_angle_alpha 60.00
_cell_angle_beta 60.00
_cell_angle_gamma 60.00
_space_group_name_H-M_alt 'P 1'
_space_group_IT_number 1
loop_
_space_group_symop_operation_xyz
'x,y,z'
loop_
_atom_site_label
_atom_site_type_symbol
_atom_site_fract_x
_atom_site_fract_y
_atom_site_fract_z
Ca1 Ca 0.000 0.000 0.000
Pu1 Pu 0.500 0.500 0.500
Bi1 Bi 0.750 0.750 0.750
Sb1 Sb 0.250 0.250 0.250
# total magnetization = 5.55 μB/f.u.
# Fermi-level density of states = 15.69 states/eV per cell
# symmetry = No. 216
# raw formation energy = -0.5248 eV/atom

---

Record 4
# YScTlPb (PBE, relaxed)
data_YScTlPb
_cell_length_a 5.294
_cell_length_b 5.294
_cell_length_c 5.294
_cell_angle_alpha 60.00
_cell_angle_beta 60.00
_cell_angle_gamma 60.00
_space_group_name_H-M_alt 'P 1'
_space_group_IT_number 1
loop_
_space_group_symop_operation_xyz
'x,y,z'
loop_
_atom_site_label
_atom_site_type_symbol
_atom_site_fract_x
_atom_site_fract_y
_atom_site_fract_z
Y1 Y 0.000 0.000 0.000
Sc1 Sc 0.500 0.500 0.500
Tl1 Tl 0.750 0.750 0.750
Pb1 Pb 0.250 0.250 0.250
# total magnetization = 0.00 μB/f.u.
# Fermi-level density of states = 4.02 states/eV per cell
# symmetry = No. 216
# ΔE_f = -7.037 kcal/mol of atoms

---

Record 5
# Dy6TlIr2 (PBE, relaxed)
data_Dy6TlIr2
_cell_length_a 8.523
_cell_length_b 8.523
_cell_length_c 8.523
_cell_angle_alpha 113.06
_cell_angle_beta 110.78
_cell_angle_gamma 104.68
_space_group_name_H-M_alt 'P 1'
_space_group_IT_number 1
loop_
_space_group_symop_operation_xyz
'x,y,z'
loop_
_atom_site_label
_atom_site_type_symbol
_atom_site_fract_x
_atom_site_fract_y
_atom_site_fract_z
Dy1 Dy 0.032 0.239 0.794
Dy2 Dy 0.182 0.286 0.468
Dy3 Dy 0.182 0.714 0.896
Dy4 Dy 0.331 0.022 0.691
Dy5 Dy 0.331 0.639 0.309
Dy6 Dy 0.445 0.239 0.206
Dy7 Dy 0.555 0.761 0.794
Dy8 Dy 0.669 0.361 0.691
Dy9 Dy 0.669 0.978 0.309
Dy10 Dy 0.818 0.286 0.104
Dy11 Dy 0.818 0.714 0.532
Dy12 Dy 0.968 0.761 0.206
Tl1 Tl 0.000 0.000 0.000
Tl2 Tl 0.500 0.500 0.000
Ir1 Ir 0.130 0.630 0.500
Ir2 Ir 0.336 0.000 0.336
Ir3 Ir 0.664 0.000 0.664
Ir4 Ir 0.870 0.370 0.500
# total magnetization = 0.00 μB/f.u.
# Fermi-level density of states = 14.93 states/eV per cell
# symmetry = No. 71
# ΔE_f = -13.352 kcal/mol of atoms

---

Record 6
# SrAlTc2 (PBE, relaxed)
data_SrAlTc2
_cell_length_a 9.741
_cell_length_b 9.741
_cell_length_c 9.741
_cell_angle_alpha 152.38
_cell_angle_beta 152.38
_cell_angle_gamma 39.46
_space_group_name_H-M_alt 'P 1'
_space_group_IT_number 1
loop_
_space_group_symop_operation_xyz
'x,y,z'
loop_
_atom_site_label
_atom_site_type_symbol
_atom_site_fract_x
_atom_site_fract_y
_atom_site_fract_z
Sr1 Sr 0.000 0.000 0.000
Sr2 Sr 0.750 0.250 0.500
Al1 Al 0.250 0.750 0.500
Al2 Al 0.500 0.500 0.000
Tc1 Tc 0.329 0.125 0.704
Tc2 Tc 0.375 0.671 0.796
Tc3 Tc 0.421 0.625 0.296
Tc4 Tc 0.875 0.579 0.204
# total magnetization = 0.31 μB/f.u.
# Fermi-level density of states = 9.01 states/eV per cell
# symmetry = No. 122
# ΔE_f = 13.944 kcal/mol of atoms

---

Q: Look up the total magnetization of the second one.
A: 6.75 μB/f.u.

---

Repeat the fourth record exactly.
# YScTlPb (PBE, relaxed)
data_YScTlPb
_cell_length_a 5.294
_cell_length_b 5.294
_cell_length_c 5.294
_cell_angle_alpha 60.00
_cell_angle_beta 60.00
_cell_angle_gamma 60.00
_space_group_name_H-M_alt 'P 1'
_space_group_IT_number 1
loop_
_space_group_symop_operation_xyz
'x,y,z'
loop_
_atom_site_label
_atom_site_type_symbol
_atom_site_fract_x
_atom_site_fract_y
_atom_site_fract_z
Y1 Y 0.000 0.000 0.000
Sc1 Sc 0.500 0.500 0.500
Tl1 Tl 0.750 0.750 0.750
Pb1 Pb 0.250 0.250 0.250
# total magnetization = 0.00 μB/f.u.
# Fermi-level density of states = 4.02 states/eV per cell
# symmetry = No. 216
# ΔE_f = -7.037 kcal/mol of atoms